Here is crystalline Ho2Tl2IO6 at its relaxed geometry from Alexandria via LeMat-Bulk. Energies are from PBE.

extended XYZ file:
```
11
Lattice="2.996 -5.353 0.000 2.996 5.353 0.000 -1.888 0.000 6.506" Properties=species:S:1:pos:R:3 pbc="T T T"
Ho 2.996 3.562 0.000
Ho 2.996 -3.562 0.000
Tl 2.053 1.763 3.253
Tl 2.053 -1.763 3.253
I 2.996 0.000 0.000
O 0.111 1.895 5.390
O 1.108 0.000 0.968
O 0.111 -1.895 5.390
O 3.994 1.895 1.116
O 2.997 0.000 5.538
O 3.994 -1.895 1.116
```

- formation energy from raw total energies (meV per atom) = -1674
- space group = C2/m, No. 12
- final energy (eV/atom) = -5.78
- theoretical density (g/cm3) = 7.65
- crystal system = monoclinic



Here is crystalline Tb8NdMg2 at its relaxed geometry from Alexandria via LeMat-Bulk. Energies are from PBE.

extended XYZ file:
```
11
Lattice="4.382 -7.764 0.000 4.382 7.764 0.000 -2.501 0.000 5.133" Properties=species:S:1:pos:R:3 pbc="T T T"
Tb 0.252 1.749 3.250
Tb 4.382 4.439 0.000
Tb 0.252 -1.749 3.250
Tb 3.077 0.000 1.050
Tb 3.187 0.000 4.084
Tb 6.011 1.749 1.883
Tb 4.382 -4.439 0.000
Tb 6.011 -1.749 1.883
Nd 0.000 0.000 0.000
Mg 3.132 2.994 2.567
Mg 3.132 -2.994 2.567
```

- energy relative to the elements (eV/atom) = 0.14
- space group = C2/m, No. 12
- final energy (eV/atom) = -3.95
- theoretical density (g/cm3) = 6.96
- crystal system = monoclinic